No. 1
## MgAgCl3 (GGA-PBEsol)

Data for MgAgCl3 after structural relaxation.

a b c (Å): 4.8243 4.8243 4.8243
angles (deg): 90.00 90.00 90.00
Element x y z (fractional)
Mg (0.0000, 0.0000, 0.0000)
Ag (0.5000, 0.5000, 0.5000)
Cl (0.0000, 0.5000, 0.0000)
Cl (0.0000, 0.0000, 0.5000)
Cl (0.5000, 0.0000, 0.0000)

Calculated values
calculated total energy: -3.189 eV per atom
E_form (uncorrected): -0.98 eV per atom
V: 22.5 Å³/atom

=====

No. 2
## MgAgP2Cl (GGA-PBEsol)

Data for MgAgP2Cl after structural relaxation.

a b c (Å): 4.7307 4.7307 5.0505
angles (deg): 90.00 90.00 90.00
Each line ends with the local moment (μB).
Element x y z (fractional)
P (0.0000, 0.5000, 0.0000)  0.16
P (0.5000, 0.0000, 0.0000)  0.16
Mg (0.5000, 0.5000, 0.5000)  -0.01
Ag (0.0000, 0.0000, 0.0000)  0.04
Cl (0.0000, 0.0000, 0.5000)  0.05

Calculated values
calculated total energy: -3.166 eV per atom
E_form (uncorrected): 0.56 eV per atom
V: 22.6 Å³/atom

=====

No. 3
## MgSc2AgCl (GGA-PBEsol)

Data for MgSc2AgCl after structural relaxation.

a b c (Å): 4.7312 4.7312 4.9508
angles (deg): 90.00 90.00 90.00
Element x y z (fractional)
Sc (0.0000, 0.5000, 0.0000)
Sc (0.5000, 0.0000, 0.0000)
Mg (0.5000, 0.5000, 0.5000)
Ag (0.0000, 0.0000, 0.5000)
Cl (0.0000, 0.0000, 0.0000)

Calculated values
calculated total energy: -4.180 eV per atom
E_form (uncorrected): -0.13 eV per atom
V: 22.2 Å³/atom

=====

No. 4
## MnAg2Cl (GGA-PBEsol)

Data for MnAg2Cl after structural relaxation.

a b c (Å): 3.0695 4.4663 5.0899
angles (deg): 90.00 90.00 90.00
Each line ends with the local moment (μB).
Element x y z (fractional)
Mn (0.0000, 0.5000, 0.5000)  4.08
Ag (0.0000, 0.0000, 0.0000)  0.01
Ag (0.5000, 0.5000, 0.0000)  0.03
Cl (0.5000, 0.0000, 0.5000)  0.06

Calculated values
calculated total energy: -4.331 eV per atom
E_form (uncorrected): 0.27 eV per atom
V: 17.4 Å³/atom

=====

No. 5
## MnAg2Cl (GGA-PBEsol)

Data for MnAg2Cl after structural relaxation.

a b c (Å): 4.6242 4.6242 4.6242
angles (deg): 60.00 60.00 60.00
Each line ends with the local moment (μB).
Element x y z (fractional)
Mn (0.5000, 0.5000, 0.5000)  3.88
Ag (0.2500, 0.2500, 0.2500)  -0.03
Ag (0.7500, 0.7500, 0.7500)  -0.03
Cl (0.0000, 0.0000, 0.0000)  -0.05

Calculated values
calculated total energy: -4.085 eV per atom
E_form (uncorrected): 0.51 eV per atom
V: 17.5 Å³/atom

=====

No. 6
## MnAg2Cl (GGA-PBEsol)

Data for MnAg2Cl after structural relaxation.

a b c (Å): 4.1325 4.1325 4.9887
angles (deg): 114.47 114.47 90.00
Each line ends with the local moment (μB).
Element x y z (fractional)
Mn (0.2500, 0.7500, 0.5000)  4.00
Ag (0.0000, 0.0000, 0.0000)  -0.04
Ag (0.7500, 0.2500, 0.5000)  -0.05
Cl (0.5000, 0.5000, 0.0000)  -0.02

Calculated values
calculated total energy: -4.212 eV per atom
E_form (uncorrected): 0.39 eV per atom
V: 17.3 Å³/atom

=====

Number 1: M_tot 0.000 μB/atom. Number 2: M_tot 0.154 μB/atom. Number 3: M_tot 0.000 μB/atom. Number 4: M_tot 1.117 μB/atom. Number 5: M_tot 0.983 μB/atom. Number 6: M_tot 1.014 μB/atom.